[1]
## Dy3Ho7Mg2 (PBE)

Data for an optimized crystal structure of Dy3Ho7Mg2.

Values from the calculation:
calculated formation energy = 96 meV per atom
VASP energy = -0.1467 hartree per atom
calculated volume = 368 Å³/cell
total magnetic moment = 0.00 μB per atom

Cell lengths 3.508, 5.713, 18.910 Å; angles 103.87, 90.00, 90.00 degrees
Positions (direct):
Dy 0.500 0.500 0.000
Dy 0.000 0.145 0.369
Dy 0.000 0.855 0.631
Ho 0.500 0.720 0.462
Ho 0.500 0.280 0.538
Ho 0.000 0.467 0.147
Ho 0.000 0.000 0.000
Ho 0.000 0.533 0.853
Ho 0.500 0.014 0.830
Ho 0.500 0.986 0.170
Mg 0.500 0.588 0.294
Mg 0.500 0.412 0.706

[2]
## KMnReB2 (PBE)

Data for an optimized crystal structure of KMnReB2.

Values from the calculation:
calculated formation energy = 2227 meV per atom
VASP energy = -0.1833 hartree per atom
calculated volume = 92 Å³/cell
total magnetic moment = 0.00 μB per atom

Cell lengths 4.194, 5.216, 4.194 Å; angles 90.00, 90.00, 90.00 degrees
Site moments in Bohr magnetons follow the coordinates.
Positions (direct):
Re 0.000 0.000 0.000  -0.12
K 0.000 0.500 0.000  0.01
Mn 0.500 0.500 0.500  0.07
B 0.000 0.000 0.500  -0.01
B 0.500 0.000 0.000  -0.01

> VASP energy of number 1 (Dy3Ho7Mg2)?

-0.1467 hartree per atom